[1]
{
  "formula": "AcBiH8Rh2",
  "functional": "PBE",
  "state": "relaxed",
  "lattice": [[2.551, 1.473, 5.972], [-2.551, 1.473, 5.972], [0.000, -2.946, 5.972]],
  "species": ["Ac", "Bi", "H", "H", "H", "H", "H", "H", "H", "H", "Rh", "Rh"],
  "fractional_positions": [[0.000, 0.000, 0.000], [0.500, 0.500, 0.500], [0.024, 0.596, 0.029], [0.029, 0.024, 0.596], [0.307, 0.307, 0.307], [0.404, 0.971, 0.976], [0.596, 0.029, 0.024], [0.693, 0.693, 0.693], [0.971, 0.976, 0.404], [0.976, 0.404, 0.971], [0.214, 0.214, 0.214], [0.786, 0.786, 0.786]],
  "energy_ev_per_atom": -4.227,
  "magnetic_moment_mub_per_atom": 0.0000,
  "space_group": "No. 148"
}

[2]
{
  "formula": "Ac2Bi2H4Rh",
  "functional": "PBE",
  "state": "relaxed",
  "lattice": [[-3.243, 3.243, 4.411], [3.243, -3.243, 4.411], [3.243, 3.243, -4.411]],
  "species": ["Ac", "Ac", "Bi", "Bi", "H", "H", "H", "H", "Rh"],
  "fractional_positions": [[0.250, 0.750, 0.500], [0.750, 0.250, 0.500], [0.176, 0.176, 0.000], [0.824, 0.824, 0.000], [0.315, 0.315, 0.629], [0.315, 0.685, 0.000], [0.685, 0.315, 0.000], [0.685, 0.685, 0.371], [0.500, 0.500, 0.000]],
  "energy_ev_per_atom": -4.386,
  "magnetic_moment_mub_per_atom": 0.0000,
  "space_group": "No. 139"
}